First-principles (PBEsol) data for a relaxed structure of NiTe2PbI, as listed in the Alexandria database.

As for the density of states at the Fermi level: 3.80 states/eV/f.u. The calculation puts the formation energy from raw total energies at 32 meV/atom.

It has space group P4/mmm (No. 123), with a = 5.059 Å, b = 5.059 Å, c = 5.227 Å, α = 90.00°, β = 90.00° and γ = 90.00°. The inequivalent atoms are Ni at (0.000, 0.000, 0.000), Te at (0.000, 0.500, 0.000), Pb at (0.500, 0.500, 0.500) and I at (0.000, 0.000, 0.500).